Computed, not measured: crystalline GaHgHRh2 at its relaxed geometry at the PBE level of DFT.

The structure in extended XYZ format:
```
5
Lattice="4.8000 0.0000 0.0000 0.0000 4.8000 0.0000 0.0000 0.0000 3.3080" Properties=species:S:1:pos:R:3 pbc="T T T"
Ga 0.0000 0.0000 0.0000
Hg 2.4000 2.4000 1.6540
H 0.0000 0.0000 1.6540
Rh 0.0000 2.4000 0.0000
Rh 2.4000 0.0000 0.0000
```

Values from the calculation:
Its energy is -19.18 eV per cell. Its total magnetization is 0.00 μB/atom.